VASP calculation (PBE) on a relaxed structure of LiCoOs2.

Unit cell a=4.5984 b=4.5984 c=4.5500 alpha=79.68 beta=79.68 gamma=33.46
Last column: nearest neighbours and their distance in Å.
Element x y z (fractional)
Li 0.2500 0.2500 0.2500  6 Os 2.54-2.76, 4 Co 2.63, 2 Li 2.65
Os 0.4829 0.4829 0.5058  3 Co 2.52-2.78, 3 Li 2.54-2.76, 6 Os 2.65
Os 0.0171 0.0171 0.9942  3 Co 2.52-2.78, 3 Li 2.54-2.76, 6 Os 2.65
Co 0.7500 0.7500 0.7500  6 Os 2.52-2.78, 4 Li 2.63, 2 Co 2.65

## Properties
calculated formation energy: 0.230 eV per atom
total DFT energy (no corrections): -7.639 eV/atom
energy above the most stable polymorph in this dataset: 0.032 eV/atom


VASP calculation (PBE) on a relaxed structure of LiCo2Os.

Unit cell a=5.0490 b=5.0490 c=5.0490 alpha=150.12 beta=129.21 gamma=60.05
Last column: nearest neighbours and their distance in Å.
Element x y z (fractional)
Os 0.2351 0.7351 0.5000  6 Co 2.50-2.54, 2 Os 2.60, 2 Li 2.73
Co 0.7651 0.2651 0.5000  4 Co 2.36-2.60, 4 Os 2.54, 2 Li 2.59
Li 0.5094 0.5094 0.0000  6 Co 2.53-2.59, 2 Li 2.60, 2 Os 2.73
Co 0.9904 0.9904 0.0000  4 Co 2.36-2.60, 2 Os 2.50, 4 Li 2.53

## Properties
calculated formation energy: 0.220 eV per atom
total DFT energy (no corrections): -6.619 eV/atom
energy above the most stable polymorph in this dataset: 0.060 eV/atom